Material: Sm2HoHg5
Method: DFT, PBE-GGA
State: relaxed

Results
* space group: I4/mmm (139)
* total magnetization: 0.0 μB per formula unit
* energy: -2.353 eV/atom
* N(E_F): 5.735 states/eV per cell
* crystal system: tetragonal

Unit cell a=8.323 b=8.323 c=8.323 alpha=143.45 beta=143.45 gamma=52.65
Atoms (fractional coordinates):
Sm 0.236 0.236 0.000
Sm 0.764 0.764 0.000
Ho 0.500 0.500 0.000
Hg 0.000 0.000 0.000
Hg 0.120 0.620 0.500
Hg 0.380 0.880 0.500
Hg 0.620 0.120 0.500
Hg 0.880 0.380 0.500